Li2CuSi4O10 | meta-GGA SCAN | single point on PBEsol structure

a = 6.655 Å, b = 7.539 Å, c = 9.261 Å
α = 104.46°, β = 97.70°, γ = 114.82°
Fractional coordinates of all 34 atoms:
Li 0.233 0.267 0.444
Li 0.238 0.804 0.073
Li 0.762 0.196 0.927
Li 0.767 0.733 0.556
Cu 0.251 0.800 0.571
Cu 0.749 0.200 0.429
Si 0.064 0.407 0.775
Si 0.204 0.107 0.829
Si 0.389 0.599 0.282
Si 0.469 0.224 0.162
Si 0.531 0.776 0.838
Si 0.611 0.401 0.718
Si 0.796 0.893 0.171
Si 0.936 0.593 0.225
O 0.042 0.224 0.852
O 0.043 0.345 0.593
O 0.072 0.894 0.686
O 0.146 0.557 0.174
O 0.276 0.076 0.994
O 0.295 0.630 0.879
O 0.382 0.373 0.266
O 0.427 0.290 0.807
O 0.448 0.722 0.462
O 0.493 0.064 0.240
O 0.507 0.936 0.760
O 0.552 0.278 0.538
O 0.573 0.710 0.193
O 0.618 0.627 0.734
O 0.705 0.370 0.121
O 0.724 0.924 0.006
O 0.854 0.443 0.826
O 0.928 0.106 0.314
O 0.957 0.655 0.407
O 0.958 0.776 0.148

Output
formation energy from raw total energies = -44.740 eV per formula unit
calculated volume = 393.0 Å³/cell
symmetry = No. 2
calculated total energy = -334.19 eV per cell
D(E_F) = 0.00 states/eV per cell

Hf2NiGeRu | meta-GGA SCAN | single point on PBEsol structure

a = 4.865 Å, b = 4.865 Å, c = 4.077 Å
α = 90.00°, β = 90.00°, γ = 90.00°
Fractional coordinates of all 5 atoms:
Hf 0.000 0.500 0.000
Hf 0.500 0.000 0.000
Ni 0.000 0.000 0.500
Ge 0.000 0.000 0.000
Ru 0.500 0.500 0.500

Output
calculated volume = 96.5 Å³/cell
symmetry = No. 123
formation enthalpy at 0 K = 0.561 eV per atom
calculated total energy = -192.63 eV per cell
D(E_F) = 2.95 states/eV per cell

MnRhSe2 | meta-GGA SCAN | single point on PBEsol structure

a = 5.211 Å, b = 5.211 Å, c = 5.211 Å
α = 138.26°, β = 138.26°, γ = 60.51°
Fractional coordinates of all 4 atoms:
Mn 0.000 0.000 0.000
Rh 0.750 0.250 0.500
Se 0.250 0.750 0.500
Se 0.500 0.500 0.000

Output
formation energy from raw total energies = -0.119 eV per formula unit
calculated volume = 62.1 Å³/cell
symmetry = No. 119
calculated total energy = -92.30 eV per cell
D(E_F) = 2.34 states/eV per cell

ScBiH2 | meta-GGA SCAN | single point on PBEsol structure

a = 4.257 Å, b = 4.257 Å, c = 4.257 Å
α = 60.00°, β = 60.00°, γ = 60.00°
Fractional coordinates of all 4 atoms:
Sc 0.000 0.000 0.000
Bi 0.500 0.500 0.500
H 0.250 0.250 0.250
H 0.750 0.750 0.750

Output
calculated volume = 54.5 Å³/cell
symmetry = No. 225
calculated total energy = -98.87 eV per cell
D(E_F) = 0.90 states/eV per cell

Mg2ZnAu2 | meta-GGA SCAN | single point on PBEsol structure

a = 6.706 Å, b = 6.706 Å, c = 6.706 Å
α = 144.94°, β = 144.94°, γ = 50.42°
Fractional coordinates of all 5 atoms:
Mg 0.250 0.750 0.500
Mg 0.750 0.250 0.500
Zn 0.000 0.000 0.000
Au 0.393 0.393 0.000
Au 0.607 0.607 0.000

Output
calculated volume = 99.0 Å³/cell
symmetry = No. 139
formation enthalpy at 0 K = -0.257 eV per atom
calculated total energy = -163.06 eV per cell
D(E_F) = 1.50 states/eV per cell

Fe2ReIr | meta-GGA SCAN | single point on PBEsol structure

a = 2.611 Å, b = 2.611 Å, c = 7.154 Å
α = 90.00°, β = 90.00°, γ = 90.00°
Fractional coordinates of all 4 atoms:
Fe 0.000 0.000 0.249
Fe 0.000 0.000 0.751
Re 0.500 0.500 0.500
Ir 0.500 0.500 0.000

Output
calculated volume = 48.8 Å³/cell
symmetry = No. 123
formation enthalpy at 0 K = 0.216 eV per atom
calculated total energy = -177.59 eV per cell
D(E_F) = 3.35 states/eV per cell